A plane-wave DFT calculation with GGA+U was carried out for an optimized crystal structure of Rb3Ni2O4.

Properties
- E: -3.963 eV per atom
- Size of the total moment: 1.000 μB/f.u.

a b c (Å): 6.176 6.176 11.641
angles (deg): 113.92 113.92 27.68
Positions (direct):
1 Rb 0.000 0.000 0.000
2 Rb 0.436 0.436 0.606
3 Rb 0.564 0.564 0.394
4 Ni 0.255 0.255 0.284
5 Ni 0.745 0.745 0.716
6 O 0.146 0.146 0.628
7 O 0.347 0.347 0.799
8 O 0.653 0.653 0.201
9 O 0.854 0.854 0.372